1.
The following is a PBE calculation of a geometry-optimized CaAc5Rh4 structure, from the Alexandria database.

POSCAR file:
```
CaAc5Rh4
1.0
9.151 -2.160 0.000
9.151 2.160 0.000
-2.113 0.000 8.096
Ca Ac Rh
1 5 4
Direct
0.000 0.000 0.000
0.000 0.000 0.500
0.336 0.336 0.666
0.337 0.337 0.148
0.663 0.663 0.852
0.664 0.664 0.334
0.175 0.175 0.112
0.500 0.500 0.265
0.500 0.500 0.735
0.825 0.825 0.888
```

Values from the calculation:
Offset from the most stable computed form: 0 meV/atom
Formation enthalpy at 0 K: -0.52 eV per atom


2.
The following is a PBE calculation of a geometry-optimized IrWCl2 structure, from the Alexandria database.

POSCAR file:
```
IrWCl2
1.0
3.935 0.000 0.000
0.000 3.935 0.000
0.000 0.000 8.336
Ir W Cl
2 2 4
Direct
0.000 0.000 0.000
0.500 0.500 0.500
0.000 0.000 0.500
0.500 0.500 0.000
0.000 0.500 0.250
0.000 0.500 0.750
0.500 0.000 0.250
0.500 0.000 0.750
```

Values from the calculation:
Offset from the most stable computed form: 1430 meV/atom
Formation energy (no corrections): 1245 meV/atom


3.
The following is a PBE calculation of a geometry-optimized Tb2SmDy structure, from the Alexandria database.

POSCAR file:
```
Tb2SmDy
1.0
8.052 0.000 0.000
0.000 8.052 0.000
0.000 0.000 8.052
Tb Sm Dy
8 4 4
Direct
0.250 0.250 0.250
0.250 0.250 0.750
0.250 0.750 0.250
0.250 0.750 0.750
0.750 0.250 0.250
0.750 0.250 0.750
0.750 0.750 0.250
0.750 0.750 0.750
0.000 0.000 0.000
0.000 0.500 0.500
0.500 0.000 0.500
0.500 0.500 0.000
0.000 0.000 0.500
0.000 0.500 0.000
0.500 0.000 0.000
0.500 0.500 0.500
```

Values from the calculation:
Offset from the most stable computed form: 134 meV/atom
Formation enthalpy at 0 K: 0.15 eV per atom


4.
The following is a PBE calculation of a geometry-optimized Sr2CaBe structure, from the Alexandria database.

POSCAR file:
```
Sr2CaBe
1.0
14.016 0.000 0.000
0.000 3.913 0.000
-2.542 0.000 5.411
Sr Ca Be
4 2 2
Direct
0.000 0.000 0.000
0.189 0.000 0.689
0.500 0.500 0.000
0.689 0.500 0.689
0.318 0.500 0.318
0.818 0.000 0.318
0.494 0.000 0.500
0.994 0.500 0.500
```

Values from the calculation:
Formation enthalpy at 0 K: 0.31 eV per atom


5.
The following is a PBE calculation of a geometry-optimized NaSi2Sn2 structure, from the Alexandria database.

POSCAR file:
```
NaSi2Sn2
1.0
5.104 0.000 0.000
0.000 5.104 0.000
0.000 0.000 9.296
Na Si Sn
2 4 4
Direct
0.000 0.000 0.000
0.500 0.500 0.500
0.000 0.000 0.372
0.000 0.000 0.628
0.500 0.500 0.128
0.500 0.500 0.872
0.000 0.500 0.250
0.000 0.500 0.750
0.500 0.000 0.250
0.500 0.000 0.750
```

Values from the calculation:
Offset from the most stable computed form: 0 meV/atom
Formation energy (no corrections): 113 meV/atom


6.
The following is a PBE calculation of a geometry-optimized TlPbSe2 structure, from the Alexandria database.

POSCAR file:
```
TlPbSe2
1.0
7.527 0.000 0.000
0.000 7.527 0.000
0.000 0.000 7.527
Tl Pb Se
4 4 8
Direct
0.000 0.000 0.000
0.000 0.500 0.500
0.500 0.000 0.500
0.500 0.500 0.000
0.250 0.250 0.750
0.250 0.750 0.250
0.750 0.250 0.250
0.750 0.750 0.750
0.000 0.000 0.500
0.000 0.500 0.000
0.250 0.250 0.250
0.250 0.750 0.750
0.500 0.000 0.000
0.500 0.500 0.500
0.750 0.250 0.750
0.750 0.750 0.250
```

Values from the calculation:
Formation energy (no corrections): 60 meV/atom


7.
The following is a PBE calculation of a geometry-optimized Nb2TlFePb structure, from the Alexandria database.

POSCAR file:
```
Nb2TlFePb
1.0
5.238 0.000 0.000
0.000 5.238 0.000
0.000 0.000 4.732
Nb Tl Fe Pb
2 1 1 1
Direct
0.000 0.500 0.000
0.500 0.000 0.000
0.000 0.000 0.500
0.500 0.500 0.500
0.500 0.500 0.000
```

Values from the calculation:
Formation enthalpy at 0 K: 1.87 eV per atom


8.
The following is a PBE calculation of a geometry-optimized LaSeBr2 structure, from the Alexandria database.

POSCAR file:
```
LaSeBr2
1.0
7.541 0.000 0.000
0.000 7.541 0.000
0.000 0.000 7.541
La Se Br
4 4 8
Direct
0.000 0.000 0.000
0.000 0.500 0.500
0.500 0.000 0.500
0.500 0.500 0.000
0.250 0.250 0.750
0.250 0.750 0.250
0.750 0.250 0.250
0.750 0.750 0.750
0.000 0.000 0.500
0.000 0.500 0.000
0.250 0.250 0.250
0.250 0.750 0.750
0.500 0.000 0.000
0.500 0.500 0.500
0.750 0.250 0.750
0.750 0.750 0.250
```

Values from the calculation:
Offset from the most stable computed form: 297 meV/atom
Formation energy (no corrections): -1169 meV/atom


9.
The following is a PBE calculation of a geometry-optimized NdSm2Th structure, from the Alexandria database.

POSCAR file:
```
NdSm2Th
1.0
3.616 0.000 0.000
0.000 3.616 0.000
0.000 0.000 10.345
Nd Sm Th
1 2 1
Direct
0.000 0.000 0.000
0.500 0.500 0.262
0.500 0.500 0.738
0.000 0.000 0.500
```

Values from the calculation:
Offset from the most stable computed form: 9 meV/atom
Formation enthalpy at 0 K: 0.03 eV per atom


10.
The following is a PBE calculation of a geometry-optimized AcPaIr2 structure, from the Alexandria database.

POSCAR file:
```
AcPaIr2
1.0
4.108 0.000 0.000
-2.054 3.558 0.000
0.000 0.000 20.813
Ac Pa Ir
3 3 6
Direct
0.000 0.000 0.000
0.333 0.667 0.667
0.667 0.333 0.333
0.000 0.000 0.500
0.333 0.667 0.167
0.667 0.333 0.833
0.000 0.000 0.238
0.000 0.000 0.762
0.333 0.667 0.429
0.333 0.667 0.905
0.667 0.333 0.095
0.667 0.333 0.571
```

Values from the calculation:
Offset from the most stable computed form: 34 meV/atom
Formation enthalpy at 0 K: -0.77 eV per atom


11.
The following is a PBE calculation of a geometry-optimized Pm6NdSm2Ho structure, from the Alexandria database.

POSCAR file:
```
Pm6NdSm2Ho
1.0
4.620 -7.668 0.000
4.620 7.668 0.000
-1.349 0.000 9.695
Pm Nd Sm Ho
12 2 4 2
Direct
0.015 0.569 0.187
0.120 0.751 0.555
0.249 0.880 0.945
0.293 0.507 0.381
0.431 0.985 0.313
0.493 0.707 0.119
0.507 0.293 0.881
0.569 0.015 0.687
0.707 0.493 0.619
0.751 0.120 0.055
0.880 0.249 0.445
0.985 0.431 0.813
0.022 0.978 0.250
0.978 0.022 0.750
0.199 0.299 0.044
0.299 0.199 0.544
0.701 0.801 0.456
0.801 0.701 0.956
0.409 0.591 0.750
0.591 0.409 0.250
```

Values from the calculation:
Formation enthalpy at 0 K: 0.11 eV per atom


12.
The following is a PBE calculation of a geometry-optimized Ba8Rh3I3N structure, from the Alexandria database.

POSCAR file:
```
Ba8Rh3I3N
1.0
4.490 2.592 8.768
-4.490 2.592 8.768
0.000 -5.184 8.768
Ba Rh I N
8 3 3 1
Direct
0.234 0.234 0.234
0.250 0.712 0.712
0.288 0.288 0.750
0.288 0.750 0.288
0.712 0.250 0.712
0.712 0.712 0.250
0.750 0.288 0.288
0.766 0.766 0.766
0.000 0.000 0.500
0.000 0.500 0.000
0.500 0.000 0.000
0.000 0.500 0.500
0.500 0.000 0.500
0.500 0.500 0.000
0.500 0.500 0.500
```

Values from the calculation:
Formation energy (no corrections): -716 meV/atom